# YTh2Ru PBE-GGA optimized geometry
data_YTh2Ru
_chemical_formula_sum 'Y2 Th4 Ru2'
_space_group_name_H-M_alt 'C 1 m 1'
_space_group_IT_number 8
_cell_length_a 6.8516
_cell_length_b 3.9517
_cell_length_c 9.3061
_cell_angle_alpha 90.00
_cell_angle_beta 104.36
_cell_angle_gamma 90.00
loop_
_space_group_symop_operation_xyz
'x,y,z'
'x,-y,z'
'x+1/2,y+1/2,z'
'x+1/2,-y+1/2,z'
loop_
_atom_site_label
_atom_site_fract_x
_atom_site_fract_y
_atom_site_fract_z
Y1 0.0000 0.0000 0.0000
Th1 0.0607 0.5000 0.6818
Th2 0.2732 0.5000 0.3194
Ru1 0.1658 0.0000 0.4979
# Crystal system ... monoclinic
# E above lowest polymorph ... 150 meV/atom

=====

# YThRu2 PBE-GGA optimized geometry
data_YThRu2
_chemical_formula_sum 'Y4 Th4 Ru8'
_space_group_name_H-M_alt 'F m -3 m'
_space_group_IT_number 225
_space_group_name_Hall '-F 4 2 3'
_cell_length_a 6.9672
_cell_length_b 6.9672
_cell_length_c 6.9672
_cell_angle_alpha 90.00
_cell_angle_beta 90.00
_cell_angle_gamma 90.00
loop_
_atom_site_label
_atom_site_fract_x
_atom_site_fract_y
_atom_site_fract_z
Y1 0.0000 0.0000 0.0000
Th1 0.0000 0.0000 0.5000
Ru1 0.2500 0.2500 0.2500
# Crystal system ... cubic

=====

# Y2ThRu PBE-GGA optimized geometry
data_Y2ThRu
_chemical_formula_sum 'Y8 Th4 Ru4'
_space_group_name_H-M_alt 'C m c m'
_space_group_IT_number 63
_space_group_name_Hall '-C 2c 2'
_cell_length_a 3.8228
_cell_length_b 12.0762
_cell_length_c 9.6542
_cell_angle_alpha 90.00
_cell_angle_beta 90.00
_cell_angle_gamma 90.00
loop_
_atom_site_label
_atom_site_fract_x
_atom_site_fract_y
_atom_site_fract_z
Y1 0.0000 0.1414 0.0707
Th1 0.0000 0.4187 0.2500
Ru1 0.0000 0.2370 0.7500
# Crystal system ... orthorhombic
# E above lowest polymorph ... 50 meV/atom

=====

# Y2Th2Ru3 PBE-GGA optimized geometry
data_Y2Th2Ru3
_chemical_formula_sum 'Y4 Th4 Ru6'
_space_group_name_H-M_alt 'C 1 2/m 1'
_space_group_IT_number 12
_cell_length_a 13.5143
_cell_length_b 4.7421
_cell_length_c 5.3840
_cell_angle_alpha 90.00
_cell_angle_beta 95.56
_cell_angle_gamma 90.00
loop_
_space_group_symop_operation_xyz
'x,y,z'
'-x,-y,-z'
'-x,y,-z'
'x,-y,z'
'x+1/2,y+1/2,z'
'-x+1/2,-y+1/2,-z'
'-x+1/2,y+1/2,-z'
'x+1/2,-y+1/2,z'
loop_
_atom_site_label
_atom_site_fract_x
_atom_site_fract_y
_atom_site_fract_z
Y1 0.0946 0.0000 0.3237
Th1 0.1566 0.5000 0.8491
Ru1 0.0000 0.5000 0.5000
Ru2 0.2227 0.5000 0.3146
# Crystal system ... monoclinic
# E above lowest polymorph ... 35 meV/atom

=====

# YTh2Ru PBE-GGA optimized geometry
data_YTh2Ru
_chemical_formula_sum 'Y4 Th8 Ru4'
_space_group_name_H-M_alt 'P n m a'
_space_group_IT_number 62
_cell_length_a 7.2349
_cell_length_b 9.8961
_cell_length_c 6.2792
_cell_angle_alpha 90.00
_cell_angle_beta 90.00
_cell_angle_gamma 90.00
loop_
_space_group_symop_operation_xyz
'x,y,z'
'-x,-y,-z'
'-x+1/2,-y,z+1/2'
'x+1/2,y,-z+1/2'
'x+1/2,-y+1/2,-z+1/2'
'-x+1/2,y+1/2,z+1/2'
'-x,y+1/2,-z'
'x,-y+1/2,z'
loop_
_atom_site_label
_atom_site_fract_x
_atom_site_fract_y
_atom_site_fract_z
Y1 0.0399 0.2500 0.1477
Th1 0.1714 0.0628 0.6631
Ru1 0.1132 0.7500 0.3822
# Crystal system ... orthorhombic
# E above lowest polymorph ... 0 meV/atom

=====

# Y2ThRu PBE-GGA optimized geometry
data_Y2ThRu
_chemical_formula_sum 'Y2 Th1 Ru1'
_space_group_name_H-M_alt 'P 4/m m m'
_space_group_IT_number 123
_space_group_name_Hall '-P 4 2'
_cell_length_a 3.4585
_cell_length_b 3.4585
_cell_length_c 8.8728
_cell_angle_alpha 90.00
_cell_angle_beta 90.00
_cell_angle_gamma 90.00
loop_
_atom_site_label
_atom_site_fract_x
_atom_site_fract_y
_atom_site_fract_z
Y1 0.0000 0.0000 0.1852
Th1 0.5000 0.5000 0.5000
Ru1 0.5000 0.5000 0.0000
# Crystal system ... tetragonal
# E above lowest polymorph ... 195 meV/atom

=====

# YTh2Ru PBE-GGA optimized geometry
data_YTh2Ru
_chemical_formula_sum 'Y1 Th2 Ru1'
_space_group_name_H-M_alt 'P 4/m m m'
_space_group_IT_number 123
_space_group_name_Hall '-P 4 2'
_cell_length_a 3.6379
_cell_length_b 3.6379
_cell_length_c 8.3301
_cell_angle_alpha 90.00
_cell_angle_beta 90.00
_cell_angle_gamma 90.00
loop_
_atom_site_label
_atom_site_fract_x
_atom_site_fract_y
_atom_site_fract_z
Y1 0.0000 0.0000 0.0000
Th1 0.5000 0.5000 0.3022
Ru1 0.0000 0.0000 0.5000
# Crystal system ... tetragonal
# E above lowest polymorph ... 211 meV/atom

=====

# Y2ThRu3 PBE-GGA optimized geometry
data_Y2ThRu3
_chemical_formula_sum 'Y4 Th2 Ru6'
_space_group_name_H-M_alt 'I m m m'
_space_group_IT_number 71
_space_group_name_Hall '-I 2 2'
_cell_length_a 3.4098
_cell_length_b 5.6115
_cell_length_c 13.8305
_cell_angle_alpha 90.00
_cell_angle_beta 90.00
_cell_angle_gamma 90.00
loop_
_atom_site_label
_atom_site_fract_x
_atom_site_fract_y
_atom_site_fract_z
Y1 0.0000 0.0000 0.1663
Th1 0.0000 0.0000 0.5000
Ru1 0.0000 0.5000 0.1591
Ru2 0.0000 0.5000 0.5000
# Crystal system ... orthorhombic
# E above lowest polymorph ... 404 meV/atom

=====

# YTh2Ru PBE-GGA optimized geometry
data_YTh2Ru
_chemical_formula_sum 'Y4 Th8 Ru4'
_space_group_name_H-M_alt 'C m c m'
_space_group_IT_number 63
_space_group_name_Hall '-C 2c 2'
_cell_length_a 3.8589
_cell_length_b 11.7736
_cell_length_c 9.8781
_cell_angle_alpha 90.00
_cell_angle_beta 90.00
_cell_angle_gamma 90.00
loop_
_atom_site_label
_atom_site_fract_x
_atom_site_fract_y
_atom_site_fract_z
Y1 0.0000 0.0805 0.2500
Th1 0.0000 0.3603 0.0646
Ru1 0.0000 0.2044 0.7500
# Crystal system ... orthorhombic
# E above lowest polymorph ... 8 meV/atom

=====

# YThRu4 PBE-GGA optimized geometry
data_YThRu4
_chemical_formula_sum 'Y4 Th4 Ru16'
_space_group_name_H-M_alt 'F -4 3 m'
_space_group_IT_number 216
_space_group_name_Hall 'F -4 2 3'
_cell_length_a 7.6271
_cell_length_b 7.6271
_cell_length_c 7.6271
_cell_angle_alpha 90.00
_cell_angle_beta 90.00
_cell_angle_gamma 90.00
loop_
_atom_site_label
_atom_site_fract_x
_atom_site_fract_y
_atom_site_fract_z
Y1 0.0000 0.0000 0.0000
Th1 0.2500 0.2500 0.7500
Ru1 0.1251 0.1251 0.3749
# Crystal system ... cubic

=====

# Y3ThRu4 PBE-GGA optimized geometry
data_Y3ThRu4
_chemical_formula_sum 'Y9 Th3 Ru12'
_space_group_name_H-M_alt 'R -3 m'
_space_group_IT_number 166
_space_group_name_Hall '-R 3 2"'
_cell_length_a 4.8783
_cell_length_b 4.8783
_cell_length_c 23.7341
_cell_angle_alpha 90.00
_cell_angle_beta 90.00
_cell_angle_gamma 120.00
loop_
_atom_site_label
_atom_site_fract_x
_atom_site_fract_y
_atom_site_fract_z
Y1 0.0000 0.0000 0.0000
Y2 0.0000 0.0000 0.2538
Th1 0.0000 0.0000 0.5000
Ru1 0.0000 0.0000 0.1274
Ru2 0.0000 0.0000 0.3783
# Crystal system ... trigonal

=====

# YTh2Ru PBE-GGA optimized geometry
data_YTh2Ru
_chemical_formula_sum 'Y3 Th6 Ru3'
_space_group_name_H-M_alt 'R -3 m'
_space_group_IT_number 166
_space_group_name_Hall '-R 3 2"'
_cell_length_a 3.8236
_cell_length_b 3.8236
_cell_length_c 30.7492
_cell_angle_alpha 90.00
_cell_angle_beta 90.00
_cell_angle_gamma 120.00
loop_
_atom_site_label
_atom_site_fract_x
_atom_site_fract_y
_atom_site_fract_z
Y1 0.0000 0.0000 0.0000
Th1 0.0000 0.0000 0.1116
Ru1 0.0000 0.0000 0.5000
# Crystal system ... trigonal
# E above lowest polymorph ... 378 meV/atom

=====

The total moment results, record by record, are as follows: 0.0 0.0 0.0 0.0 0.0 0.0 0.0 0.0 0.0 0.0 0.0 0.0 μB per formula unit.
The uncorrected energy results, record by record, are as follows: -31.19 -34.09 -30.80 -58.15 -31.79 -30.22 -30.95 -48.15 -31.76 -52.74 -67.05 -30.28 eV/f.u..
The energy relative to the elements results, record by record, are as follows: -0.154 -0.413 -0.295 -0.365 -0.304 -0.150 -0.093 0.005 -0.296 -0.293 -0.391 0.074 eV per atom.